Record 1
Computed, not measured: an optimized crystal structure of ZrOs2Ru at the PBE level of DFT.

a b c (Å): 2.8164 2.8164 8.0173
angles (deg): 90.00 90.00 90.00
With the nearest neighbours (Å) after each atom.
Atoms (fractional coordinates):
1 Ru 0.5000 0.5000 0.2500  8 Os 2.68, 4 Ru 2.82
2 Os 0.0000 0.0000 0.0263  4 Ru 2.68, 4 Os 2.82, 4 Zr 2.98
3 Zr 0.5000 0.5000 0.7500  4 Zr 2.82, 8 Os 2.98
4 Os 0.0000 0.0000 0.4737  4 Ru 2.68, 4 Os 2.82, 4 Zr 2.98

Properties
- DFT formation energy: 73 meV per atom
- Raw total energy: -9.998 eV/atom
- Density of states at the Fermi level: 4.9 states/eV/f.u.
- Spin magnetization: 0.00 μB per formula unit

=====

Record 2
Computed, not measured: an optimized crystal structure of Ni3IrRh3 at the PBE level of DFT.

a b c (Å): 5.8340 5.8340 5.8340
angles (deg): 96.23 96.23 96.23
With the nearest neighbours (Å) after each atom.
Atoms (fractional coordinates):
1 Rh 0.2619 0.1891 0.5237  5 Ni 2.42-2.60, 2 Rh 2.65, 1 Ir 2.69
2 Rh 0.1891 0.5237 0.2619  5 Ni 2.42-2.60, 2 Rh 2.65, 1 Ir 2.69
3 Ni 0.3279 0.4587 0.8780  5 Rh 2.42-2.60, 1 Ir 2.50
4 Rh 0.6891 0.7619 0.0237  5 Ni 2.42-2.60, 2 Rh 2.65, 1 Ir 2.69
5 Ni 0.8279 0.3780 0.9587  5 Rh 2.42-2.60, 1 Ir 2.50
6 Ir 0.0768 0.0768 0.0768  3 Ni 2.50, 6 Rh 2.69-2.72
7 Ni 0.8780 0.3279 0.4587  5 Rh 2.42-2.60, 1 Ir 2.50
8 Rh 0.7619 0.0237 0.6891  5 Ni 2.42-2.60, 2 Rh 2.65, 1 Ir 2.69
9 Ni 0.9587 0.8279 0.3780  5 Rh 2.42-2.60, 1 Ir 2.50
10 Ir 0.5768 0.5768 0.5768  3 Ni 2.50, 6 Rh 2.69-2.72
11 Rh 0.0237 0.6891 0.7619  5 Ni 2.42-2.60, 2 Rh 2.65, 1 Ir 2.69
12 Rh 0.5237 0.2619 0.1891  5 Ni 2.42-2.60, 2 Rh 2.65, 1 Ir 2.69
13 Ni 0.3780 0.9587 0.8279  5 Rh 2.42-2.60, 1 Ir 2.50
14 Ni 0.4587 0.8780 0.3279  5 Rh 2.42-2.60, 1 Ir 2.50

Properties
- DFT formation energy: 371 meV per atom
- Raw total energy: -6.523 eV/atom
- Density of states at the Fermi level: 12.4 states/eV/f.u.
- Spin magnetization: 0.00 μB per formula unit

=====

Record 3
Computed, not measured: an optimized crystal structure of La3NdO6 at the PBE level of DFT.

a b c (Å): 7.1608 7.1608 7.1608
angles (deg): 91.59 91.59 91.59
With the nearest neighbours (Å) after each atom.
Atoms (fractional coordinates):
1 O 0.5303 0.3990 0.1842  1 Nd 2.37, 3 La 2.40-2.49
2 O 0.1842 0.5303 0.3990  1 Nd 2.37, 3 La 2.40-2.49
3 La 0.0605 0.2514 0.5541  6 O 2.37-2.55
4 O 0.6010 0.8158 0.4697  1 Nd 2.37, 3 La 2.40-2.49
5 O 0.6856 0.0934 0.9353  3 La 2.37-2.55, 1 Nd 2.40
6 La 0.9395 0.7486 0.4459  6 O 2.37-2.55
7 Nd 0.5000 0.5000 0.5000  6 O 2.37
8 La 0.4459 0.9395 0.7486  6 O 2.37-2.55
9 La 0.2514 0.5541 0.0605  6 O 2.37-2.55
10 O 0.3990 0.1842 0.5303  1 Nd 2.37, 3 La 2.40-2.49
11 O 0.9353 0.6856 0.0934  3 La 2.37-2.55, 1 Nd 2.40
12 La 0.5541 0.0605 0.2514  6 O 2.37-2.55
13 Nd 0.0000 0.0000 0.0000  6 O 2.40
14 O 0.3144 0.9066 0.0647  3 La 2.37-2.55, 1 Nd 2.40
15 La 0.7486 0.4459 0.9395  6 O 2.37-2.55
16 O 0.4697 0.6010 0.8158  1 Nd 2.37, 3 La 2.40-2.49
17 O 0.8158 0.4697 0.6010  1 Nd 2.37, 3 La 2.40-2.49
18 O 0.9066 0.0647 0.3144  3 La 2.37-2.55, 1 Nd 2.40
19 O 0.0647 0.3144 0.9066  3 La 2.37-2.55, 1 Nd 2.40
20 O 0.0934 0.9353 0.6856  3 La 2.37-2.55, 1 Nd 2.40

Properties
- Raw total energy: -8.344 eV/atom
- Density of states at the Fermi level: 0.0 states/eV/f.u.
- Spin magnetization: 0.00 μB per formula unit
- Formation energy without anion corrections: -3.414 eV/atom

=====

Record 4
Computed, not measured: an optimized crystal structure of Hf6SiPb at the PBE level of DFT.

a b c (Å): 6.0391 6.0391 6.1347
angles (deg): 108.41 108.41 108.97
With the nearest neighbours (Å) after each atom.
Atoms (fractional coordinates):
1 Si 0.5000 0.5000 0.5000  6 Hf 2.74-2.76
2 Pb 0.0000 0.0000 0.0000  6 Hf 3.03-3.04, 2 Si 3.16
3 Hf 0.2687 0.7454 0.7425  1 Si 2.76, 2 Hf 2.91-2.92, 1 Pb 3.03
4 Hf 0.2520 0.2520 0.7239  1 Si 2.74, 2 Hf 2.91, 1 Pb 3.04
5 Hf 0.7480 0.7480 0.2761  1 Si 2.74, 2 Hf 2.91, 1 Pb 3.04
6 Hf 0.7454 0.2687 0.7425  1 Si 2.76, 2 Hf 2.91-2.92, 1 Pb 3.03
7 Hf 0.2546 0.7313 0.2575  1 Si 2.76, 2 Hf 2.91-2.92, 1 Pb 3.03
8 Hf 0.7313 0.2546 0.2575  1 Si 2.76, 2 Hf 2.91-2.92, 1 Pb 3.03

Properties
- Raw total energy: -8.548 eV/atom
- Density of states at the Fermi level: 8.8 states/eV/f.u.
- Spin magnetization: 0.00 μB per formula unit
- Formation energy without anion corrections: 0.058 eV/atom

=====

Record 5
Computed, not measured: an optimized crystal structure of Sr3DyTh2Bi6 at the PBE level of DFT.

a b c (Å): 8.0819 8.0819 8.2784
angles (deg): 99.37 99.37 120.03
With the nearest neighbours (Å) after each atom.
Atoms (fractional coordinates):
1 Bi 0.5935 0.9236 0.7701  1 Dy 3.22, 2 Th 3.25, 3 Sr 3.41-3.43
2 Bi 0.0764 0.4065 0.2299  1 Dy 3.22, 2 Th 3.25, 3 Sr 3.41-3.43
3 Bi 0.2526 0.2526 0.7686  1 Dy 3.22, 2 Th 3.25, 3 Sr 3.42-3.44
4 Bi 0.9236 0.5935 0.7701  1 Dy 3.22, 2 Th 3.25, 3 Sr 3.41-3.43
5 Dy 0.0000 0.0000 0.0000  6 Bi 3.22
6 Bi 0.4065 0.0764 0.2299  1 Dy 3.22, 2 Th 3.25, 3 Sr 3.41-3.43
7 Sr 0.1680 0.8320 0.5000  6 Bi 3.41-3.43
8 Sr 0.5000 0.5000 0.5000  6 Bi 3.41-3.44
9 Sr 0.8320 0.1680 0.5000  6 Bi 3.41-3.43
10 Bi 0.7474 0.7474 0.2314  1 Dy 3.22, 2 Th 3.25, 3 Sr 3.42-3.44
11 Th 0.6663 0.3337 0.0000  6 Bi 3.25
12 Th 0.3337 0.6663 0.0000  6 Bi 3.25

Properties
- DFT formation energy: -779 meV per atom
- Raw total energy: -4.760 eV/atom
- Density of states at the Fermi level: 6.4 states/eV/f.u.
- Spin magnetization: 0.00 μB per formula unit

=====

Record 6
Computed, not measured: an optimized crystal structure of BaErAlTe4 at the PBE level of DFT.

a b c (Å): 7.2656 7.6724 9.2541
angles (deg): 90.00 107.32 90.00
With the nearest neighbours (Å) after each atom.
Atoms (fractional coordinates):
1 Er 0.7689 0.7500 0.4425  6 Te 3.04-3.21
2 Te 0.4277 0.7500 0.1356  1 Al 2.59
3 Te 0.0155 0.9902 0.7164  1 Al 2.63
4 Te 0.9845 0.0098 0.2836  1 Al 2.63
5 Ba 0.2230 0.2500 0.0516  6 Te 3.35-3.64
6 Te 0.9845 0.4902 0.2836  1 Al 2.63
7 Ba 0.7770 0.7500 0.9484  6 Te 3.35-3.64
8 Te 0.0155 0.5098 0.7164  1 Al 2.63
9 Te 0.5723 0.2500 0.8644  1 Al 2.59
10 Te 0.4585 0.7500 0.6012  1 Al 2.57
11 Er 0.2311 0.2500 0.5575  6 Te 3.04-3.21
12 Al 0.2321 0.7500 0.3288  4 Te 2.57-2.63
13 Al 0.7679 0.2500 0.6712  4 Te 2.57-2.63
14 Te 0.5415 0.2500 0.3988  1 Al 2.57

Properties
- Raw total energy: -4.369 eV/atom
- Spin magnetization: 0.00 μB per formula unit
- Formation energy without anion corrections: -1.112 eV/atom

=====

Record 7
Computed, not measured: an optimized crystal structure of Rb2CoBi2 at the PBE level of DFT.

a b c (Å): 7.2629 7.2629 6.2988
angles (deg): 90.00 90.00 90.00
With the nearest neighbours (Å) after each atom.
Atoms (fractional coordinates):
1 Bi 0.1566 0.3434 0.0000  2 Co 2.74
2 Rb 0.1684 0.6684 0.5000  5 Rb 3.46-3.82, 2 Bi 3.63
3 Bi 0.6566 0.1566 0.0000  2 Co 2.74
4 Bi 0.8434 0.6566 0.0000  2 Co 2.74
5 Co 0.0000 0.0000 0.0000  4 Bi 2.74
6 Rb 0.8316 0.3316 0.5000  5 Rb 3.46-3.82, 2 Bi 3.63
7 Bi 0.3434 0.8434 0.0000  2 Co 2.74
8 Rb 0.6684 0.8316 0.5000  5 Rb 3.46-3.82, 2 Bi 3.63
9 Co 0.5000 0.5000 0.0000  4 Bi 2.74
10 Rb 0.3316 0.1684 0.5000  5 Rb 3.46-3.82, 2 Bi 3.63

Properties
- DFT formation energy: 71 meV per atom
- Raw total energy: -3.290 eV/atom
- Density of states at the Fermi level: 4.8 states/eV/f.u.
- Spin magnetization: 1.58 μB per formula unit

=====

Record 8
Computed, not measured: an optimized crystal structure of Sc6FeNi5 at the PBE level of DFT.

a b c (Å): 4.4915 6.2587 7.0789
angles (deg): 90.00 108.22 90.00
With the nearest neighbours (Å) after each atom.
Atoms (fractional coordinates):
1 Ni 0.6676 0.5000 0.3372  8 Sc 2.74-2.77
2 Ni 0.6649 0.0000 0.3324  8 Sc 2.72-2.75
3 Sc 0.8359 0.2479 0.6709  1 Fe 2.70, 7 Ni 2.72-2.75
4 Sc 0.1641 0.2479 0.3291  1 Fe 2.70, 7 Ni 2.72-2.75
5 Sc 0.5000 0.2464 0.0000  6 Ni 2.72-2.77, 2 Fe 2.72
6 Sc 0.8359 0.7521 0.6709  1 Fe 2.70, 7 Ni 2.72-2.75
7 Sc 0.5000 0.7536 0.0000  6 Ni 2.72-2.77, 2 Fe 2.72
8 Ni 0.3351 0.0000 0.6676  8 Sc 2.72-2.75
9 Fe 0.0000 0.0000 0.0000  8 Sc 2.70-2.72
10 Ni 0.3324 0.5000 0.6628  8 Sc 2.74-2.77
11 Sc 0.1641 0.7521 0.3291  1 Fe 2.70, 7 Ni 2.72-2.75
12 Ni 0.0000 0.5000 0.0000  8 Sc 2.72-2.75

Properties
- DFT formation energy: -436 meV per atom
- Raw total energy: -6.716 eV/atom
- Density of states at the Fermi level: 7.5 states/eV/f.u.
- Spin magnetization: 0.30 μB per formula unit